No. 1
{"formula": "La4Sm2Sn3Cl2", "functional": "PBE", "state": "optimized geometry", "lattice_angstrom": [[5.439, 0.000, 0.000], [0.000, 5.439, 0.000], [-2.719, -2.719, 12.229]], "species": ["La", "Sn", "Sn", "Sm", "La", "La", "Sn", "Cl", "La", "Sm", "Cl"], "frac_coords": [[0.912, 0.412, 0.824], [0.173, 0.173, 0.345], [0.827, 0.827, 0.655], [0.700, 0.700, 0.400], [0.412, 0.912, 0.824], [0.088, 0.588, 0.176], [0.000, 0.000, 0.000], [0.574, 0.574, 0.149], [0.588, 0.088, 0.176], [0.300, 0.300, 0.600], [0.426, 0.426, 0.851]], "space_group": "I4/mmm (139)", "crystal_system": "tetragonal", "energy_ev_per_atom": -4.88}

---

No. 2
{"formula": "YTh2ScP4", "functional": "PBE", "state": "optimized geometry", "lattice_angstrom": [[-2.489, -1.537, 2.795], [5.065, 0.329, 4.691], [-0.175, 6.202, 3.255]], "species": ["Y", "P", "Th", "Sc", "P", "Th", "P", "P"], "frac_coords": [[0.000, 0.500, 0.500], [0.000, 0.733, 0.762], [0.000, 0.000, 0.000], [0.500, 0.500, 0.000], [0.500, 0.738, 0.248], [0.500, 0.000, 0.500], [0.000, 0.267, 0.238], [0.500, 0.262, 0.752]], "space_group": "P2/m (10)", "formation_energy_ev_per_atom": -1.532, "crystal_system": "monoclinic", "energy_ev_per_atom": -7.69}

---

No. 3
{"formula": "InTe3Mo", "functional": "PBE", "state": "optimized geometry", "lattice_angstrom": [[-2.090, 4.581, -1.903], [-3.702, -2.815, -2.711], [-3.302, 0.257, 4.244]], "species": ["Mo", "In", "Te", "Te", "Te"], "frac_coords": [[0.000, 0.000, 0.000], [0.500, 0.500, 0.500], [0.500, 0.000, 0.000], [0.000, 0.000, 0.500], [0.000, 0.500, 0.000]], "space_group": "Pm-3m (221)", "relative_energy_ev_per_atom": 0.000, "crystal_system": "cubic", "energy_ev_per_atom": -4.33}

---

No. 4
{"formula": "AcPrPb", "functional": "PBE", "state": "optimized geometry", "lattice_angstrom": [[-1.892, 0.078, -4.525], [-3.003, -3.691, 1.192], [-6.350, 6.066, 2.766]], "species": ["Pb", "Pr", "Pr", "Ac", "Ac", "Pb"], "frac_coords": [[0.313, 0.366, 0.652], [0.814, 0.366, 0.920], [0.314, 0.866, 0.920], [0.813, 0.866, 0.571], [0.314, 0.367, 0.269], [0.814, 0.867, 0.188]], "space_group": "C2/m (12)", "relative_energy_ev_per_atom": 0.000, "formation_energy_ev_per_atom": -0.441, "crystal_system": "monoclinic", "energy_ev_per_atom": -4.64}

---

No. 5
{"formula": "CdPd3Au12", "functional": "PBE", "state": "optimized geometry", "lattice_angstrom": [[-0.128, 1.196, 4.014], [-3.249, -2.563, 0.660], [10.135, -11.854, 3.855]], "species": ["Au", "Au", "Pd", "Au", "Au", "Au", "Au", "Cd", "Au", "Au", "Pd", "Au", "Au", "Au", "Pd", "Au"], "frac_coords": [[0.000, 0.500, 0.377], [0.500, 0.500, 0.254], [0.000, 0.000, 0.747], [0.500, 0.500, 0.746], [0.000, 0.500, 0.130], [0.500, 0.500, 0.000], [0.500, 0.000, 0.130], [0.000, 0.000, 0.000], [0.500, 0.000, 0.870], [0.500, 0.500, 0.500], [0.000, 0.000, 0.500], [0.500, 0.000, 0.623], [0.000, 0.500, 0.870], [0.000, 0.500, 0.623], [0.000, 0.000, 0.253], [0.500, 0.000, 0.377]], "space_group": "P4/mmm (123)", "formation_energy_ev_per_atom": -0.080, "crystal_system": "tetragonal", "energy_ev_per_atom": -3.57}

---

No. 6
{"formula": "RePCl2", "functional": "PBE", "state": "optimized geometry", "lattice_angstrom": [[-1.733, 1.998, -1.498], [0.559, -3.343, -5.106], [-4.645, -4.665, -0.850]], "species": ["Cl", "Cl", "P", "Re"], "frac_coords": [[0.500, 0.171, 0.299], [0.000, 0.856, 0.934], [0.000, 0.602, 0.622], [0.500, 0.871, 0.645]], "space_group": "Pm (6)", "relative_energy_ev_per_atom": 0.168, "crystal_system": "monoclinic", "energy_ev_per_atom": -5.50}

---

No. 7
{"formula": "Y3Ta", "functional": "PBE", "state": "optimized geometry", "lattice_angstrom": [[3.284, 0.034, 0.000], [-0.034, 3.284, 0.000], [0.000, 0.000, 10.325]], "species": ["Y", "Ta", "Y", "Y"], "frac_coords": [[0.500, 0.500, 0.213], [0.000, 0.000, 0.000], [0.000, 0.000, 0.500], [0.500, 0.500, 0.787]], "space_group": "P4/mmm (123)", "relative_energy_ev_per_atom": 0.012, "formation_energy_ev_per_atom": 0.281, "crystal_system": "tetragonal", "energy_ev_per_atom": -7.53}

---

No. 8
{"formula": "YMnSi2", "functional": "PBE", "state": "optimized geometry", "lattice_angstrom": [[3.953, -0.124, 0.101], [2.087, 3.360, 0.101], [1.879, 1.007, 5.006]], "species": ["Si", "Mn", "Y", "Si"], "frac_coords": [[0.457, 0.457, 0.629], [0.750, 0.750, 0.750], [0.250, 0.250, 0.250], [0.043, 0.043, 0.871]], "space_group": "R-3m (166)", "crystal_system": "trigonal", "energy_ev_per_atom": -7.17}

---

No. 9
{"formula": "SrCdRu2", "functional": "PBE", "state": "optimized geometry", "lattice_angstrom": [[-3.233, 2.523, 1.142], [-2.711, -2.507, -2.139], [-0.615, -2.431, 3.628]], "species": ["Ru", "Ru", "Cd", "Sr"], "frac_coords": [[0.500, 0.500, 0.000], [0.000, 0.000, 0.000], [0.000, 0.500, 0.500], [0.500, 0.000, 0.500]], "space_group": "Pmmm (47)", "formation_energy_ev_per_atom": 0.680, "crystal_system": "orthorhombic", "energy_ev_per_atom": -4.61}

---

No. 10
{"formula": "CaTcSe2", "functional": "PBE", "state": "optimized geometry", "lattice_angstrom": [[2.166, 0.000, 8.573], [-1.083, 1.875, 8.573], [-1.083, -1.875, 8.573]], "species": ["Se", "Ca", "Tc", "Se"], "frac_coords": [[0.888, 0.888, 0.888], [0.000, 0.000, 0.000], [0.500, 0.500, 0.500], [0.112, 0.112, 0.112]], "space_group": "R-3m (166)", "relative_energy_ev_per_atom": 0.459, "crystal_system": "trigonal", "energy_ev_per_atom": -5.13}

---

No. 11
{"formula": "GePSeO2", "functional": "PBE", "state": "optimized geometry", "lattice_angstrom": [[3.837, 0.000, 0.000], [0.000, 3.837, 0.000], [0.000, 0.000, 4.960]], "species": ["P", "O", "Ge", "Se", "O"], "frac_coords": [[0.000, 0.000, 0.500], [0.500, 0.000, 0.000], [0.500, 0.500, 0.500], [0.000, 0.000, 0.000], [0.000, 0.500, 0.000]], "space_group": "P4/mmm (123)", "relative_energy_ev_per_atom": 0.358, "crystal_system": "tetragonal", "energy_ev_per_atom": -4.60}

---

No. 12
{"formula": "GdCuRh", "functional": "PBE", "state": "optimized geometry", "lattice_angstrom": [[-1.019, -3.342, -0.944], [2.162, 0.386, -3.700], [1.965, -1.584, 3.485]], "species": ["Cu", "Gd", "Rh"], "frac_coords": [[0.167, 0.000, 0.000], [0.667, 0.667, 0.333], [0.167, 0.333, 0.667]], "space_group": "P-6m2 (187)", "relative_energy_ev_per_atom": 0.000, "formation_energy_ev_per_atom": -0.451, "crystal_system": "hexagonal", "energy_ev_per_atom": -8.96}

---

No. 13
{"formula": "Pm6Si6Pb", "functional": "PBE", "state": "optimized geometry", "lattice_angstrom": [[6.043, 0.000, 0.000], [3.021, 7.220, 0.091], [3.021, 0.263, 7.215]], "species": ["Pb", "Si", "Si", "Si", "Pm", "Pm", "Si", "Pm", "Pm", "Pm", "Si", "Si", "Pm"], "frac_coords": [[0.000, 0.000, 0.000], [0.500, 0.500, 0.000], [0.500, 0.742, 0.258], [0.000, 0.500, 0.000], [0.327, 0.673, 0.673], [0.341, 0.159, 0.159], [0.500, 0.000, 0.500], [0.000, 0.696, 0.304], [0.673, 0.327, 0.327], [0.000, 0.304, 0.696], [0.000, 0.000, 0.500], [0.500, 0.258, 0.742], [0.659, 0.841, 0.841]], "space_group": "Immm (71)", "crystal_system": "orthorhombic", "energy_ev_per_atom": -5.48}

---

No. 14
{"formula": "Sr6As2SeCl3", "functional": "PBE", "state": "optimized geometry", "lattice_angstrom": [[4.504, 0.000, 0.000], [0.000, 8.809, 0.442], [-2.252, -2.414, 9.331]], "species": ["Sr", "Cl", "As", "As", "Sr", "Sr", "Sr", "Sr", "Sr", "Cl", "Cl", "Se"], "frac_coords": [[0.335, 0.903, 0.671], [0.837, 0.167, 0.673], [0.835, 0.671, 0.669], [0.165, 0.329, 0.331], [0.672, 0.568, 0.344], [0.994, 0.755, 0.988], [0.665, 0.097, 0.329], [0.006, 0.245, 0.012], [0.328, 0.432, 0.656], [0.163, 0.833, 0.327], [0.500, 0.500, 0.000], [0.500, 0.000, 0.000]], "space_group": "C2/m (12)", "crystal_system": "monoclinic", "energy_ev_per_atom": -4.11}

---

No. 15
{"formula": "Sn2Pd6Au", "functional": "PBE", "state": "optimized geometry", "lattice_angstrom": [[-2.133, 4.158, 0.317], [-2.077, -3.567, -1.792], [-2.437, -1.848, 7.856]], "species": ["Sn", "Pd", "Au", "Pd", "Pd", "Pd", "Pd", "Sn", "Pd"], "frac_coords": [[0.339, 0.678, 0.736], [0.998, 0.997, 0.171], [0.000, 0.000, 0.500], [0.330, 0.660, 0.052], [0.002, 0.003, 0.829], [0.670, 0.340, 0.948], [0.333, 0.666, 0.391], [0.661, 0.322, 0.264], [0.667, 0.334, 0.609]], "space_group": "C2/m (12)", "relative_energy_ev_per_atom": 0.014, "formation_energy_ev_per_atom": -0.390, "crystal_system": "monoclinic", "energy_ev_per_atom": -5.11}

---

No. 16
{"formula": "Ba3MnIn", "functional": "PBE", "state": "optimized geometry", "lattice_angstrom": [[-3.906, 1.932, -3.815], [-2.251, -5.322, -0.391], [-3.636, 1.219, 4.340]], "species": ["In", "Ba", "Ba", "Ba", "Mn"], "frac_coords": [[0.500, 0.500, 0.500], [0.000, 0.000, 0.500], [0.500, 0.000, 0.000], [0.000, 0.500, 0.000], [0.000, 0.000, 0.000]], "space_group": "Pm-3m (221)", "relative_energy_ev_per_atom": 0.000, "formation_energy_ev_per_atom": 0.500, "crystal_system": "cubic", "energy_ev_per_atom": -3.04}

---

No. 17
{"formula": "Fe2CoSi", "functional": "PBE", "state": "optimized geometry", "lattice_angstrom": [[4.392, -0.002, 0.000], [1.602, 4.090, 0.000], [-2.997, -2.044, 2.476]], "species": ["Si", "Fe", "Fe", "Co"], "frac_coords": [[0.250, 0.750, 0.500], [0.500, 0.500, 0.000], [0.000, 0.000, 0.000], [0.750, 0.250, 0.500]], "space_group": "I4/mmm (139)", "crystal_system": "tetragonal", "energy_ev_per_atom": -7.62}

---

No. 18
{"formula": "MnSbPtI2", "functional": "PBE", "state": "optimized geometry", "lattice_angstrom": [[5.563, 0.000, 0.000], [0.000, 5.563, 0.000], [0.000, 0.000, 5.243]], "species": ["Sb", "I", "I", "Mn", "Pt"], "frac_coords": [[0.000, 0.000, 0.500], [0.500, 0.000, 0.000], [0.000, 0.500, 0.000], [0.500, 0.500, 0.500], [0.000, 0.000, 0.000]], "space_group": "P4/mmm (123)", "relative_energy_ev_per_atom": 0.000, "crystal_system": "tetragonal", "energy_ev_per_atom": -3.92}

---

No. 19
{"formula": "Ho8Tl3Se3N", "functional": "PBE", "state": "optimized geometry", "lattice_angstrom": [[-0.495, -7.795, 0.078], [1.444, 3.892, 6.623], [-8.345, 0.498, -3.094]], "species": ["Se", "Ho", "Ho", "Tl", "Se", "Tl", "Ho", "Se", "N", "Ho", "Ho", "Ho", "Ho", "Ho", "Tl"], "frac_coords": [[0.500, 0.000, 0.500], [0.792, 0.017, 0.309], [0.208, 0.983, 0.691], [0.500, 0.500, 0.000], [0.500, 0.500, 0.500], [0.000, 0.500, 0.000], [0.791, 0.583, 0.309], [0.000, 0.500, 0.500], [0.000, 0.000, 0.500], [0.261, 0.521, 0.282], [0.225, 0.016, 0.309], [0.739, 0.479, 0.718], [0.209, 0.417, 0.691], [0.775, 0.984, 0.691], [0.000, 0.000, 0.000]], "space_group": "C2/m (12)", "crystal_system": "monoclinic", "energy_ev_per_atom": -5.13}

---

No. 20
{"formula": "Sm6Ho8Mg", "functional": "PBE", "state": "optimized geometry", "lattice_angstrom": [[-4.542, 0.550, -4.289], [-0.726, -9.403, -0.437], [-5.240, 4.858, 6.172]], "species": ["Sm", "Ho", "Sm", "Sm", "Ho", "Sm", "Ho", "Mg", "Ho", "Sm", "Ho", "Ho", "Ho", "Ho", "Sm"], "frac_coords": [[0.686, 0.639, 0.090], [0.188, 0.265, 0.228], [0.686, 0.451, 0.361], [0.686, 0.910, 0.549], [0.812, 0.228, 0.962], [0.314, 0.549, 0.639], [0.826, 0.333, 0.667], [0.500, 0.000, 0.000], [0.188, 0.772, 0.038], [0.314, 0.361, 0.910], [0.812, 0.735, 0.772], [0.174, 0.667, 0.333], [0.188, 0.962, 0.735], [0.812, 0.038, 0.265], [0.314, 0.090, 0.451]], "space_group": "P-3 (147)", "relative_energy_ev_per_atom": 0.039, "formation_energy_ev_per_atom": 0.132, "crystal_system": "trigonal", "energy_ev_per_atom": -4.30}

---

No. 21
{"formula": "BaCoRe2", "functional": "PBE", "state": "optimized geometry", "lattice_angstrom": [[-4.803, 0.620, -1.075], [-0.211, -4.643, -1.735], [-4.528, -4.713, 6.071]], "species": ["Re", "Re", "Re", "Re", "Ba", "Ba", "Co", "Co"], "frac_coords": [[0.375, 0.625, 0.750], [0.375, 0.625, 0.250], [0.875, 0.625, 0.750], [0.375, 0.125, 0.250], [0.000, 0.000, 0.000], [0.750, 0.250, 0.500], [0.250, 0.750, 0.500], [0.500, 0.500, 0.000]], "space_group": "I4_1/amd (141)", "relative_energy_ev_per_atom": 0.634, "formation_energy_ev_per_atom": 1.131, "crystal_system": "tetragonal", "energy_ev_per_atom": -7.35}

---

No. 22
{"formula": "Pr8P3AuBr4", "functional": "PBE", "state": "optimized geometry", "lattice_angstrom": [[-6.679, -0.901, 5.130], [3.809, -7.023, 3.725], [4.253, 7.324, -0.168]], "species": ["Br", "Pr", "Br", "P", "Pr", "P", "P", "Pr", "Pr", "Au", "Br", "Pr", "Pr", "Pr", "Br", "Pr"], "frac_coords": [[0.000, 0.000, 0.500], [0.757, 0.287, 0.513], [0.500, 0.000, 0.500], [0.500, 0.500, 0.500], [0.727, 0.713, 0.970], [0.000, 0.500, 0.500], [0.500, 0.500, 0.000], [0.757, 0.287, 0.030], [0.265, 0.296, 0.531], [0.000, 0.500, 0.000], [0.000, 0.000, 0.000], [0.735, 0.704, 0.469], [0.243, 0.713, 0.970], [0.273, 0.287, 0.030], [0.500, 0.000, 0.000], [0.243, 0.713, 0.487]], "space_group": "R-3m (166)", "crystal_system": "trigonal", "energy_ev_per_atom": -5.37}

---

No. 23
{"formula": "AlCoOs", "functional": "PBE", "state": "optimized geometry", "lattice_angstrom": [[-0.835, 3.747, 1.001], [-0.271, 1.018, 3.824], [2.795, 2.283, 1.647]], "species": ["Co", "Al", "Os"], "frac_coords": [[0.750, 0.750, 0.750], [0.500, 0.500, 0.500], [0.000, 0.000, 0.000]], "space_group": "F-43m (216)", "relative_energy_ev_per_atom": 0.276, "formation_energy_ev_per_atom": 0.107, "crystal_system": "cubic", "energy_ev_per_atom": -7.25}

---

No. 24
{"formula": "Ho4GaNi", "functional": "PBE", "state": "optimized geometry", "lattice_angstrom": [[-0.665, 2.001, -4.559], [2.617, -5.129, -2.633], [-8.668, -5.298, 1.706]], "species": ["Ni", "Ga", "Ho", "Ho", "Ho", "Ho", "Ho", "Ho", "Ho", "Ga", "Ni", "Ho"], "frac_coords": [[0.582, 0.823, 0.165], [0.157, 0.322, 0.314], [0.450, 0.823, 0.899], [0.901, 0.321, 0.803], [0.099, 0.821, 0.197], [0.305, 0.574, 0.610], [0.695, 0.570, 0.391], [0.305, 0.070, 0.609], [0.550, 0.323, 0.101], [0.843, 0.822, 0.686], [0.418, 0.323, 0.835], [0.695, 0.074, 0.390]], "space_group": "Cmc2_1 (36)", "relative_energy_ev_per_atom": 0.114, "formation_energy_ev_per_atom": -0.205, "crystal_system": "orthorhombic", "energy_ev_per_atom": -4.72}

---

No. 25
{"formula": "LiCaIr2", "functional": "PBE", "state": "optimized geometry", "lattice_angstrom": [[4.545, -0.021, 0.000], [0.010, 4.545, 0.000], [-2.277, -2.262, 3.218]], "species": ["Ir", "Ca", "Li", "Ir"], "frac_coords": [[0.000, 0.000, 0.000], [0.750, 0.250, 0.500], [0.500, 0.500, 0.000], [0.250, 0.750, 0.500]], "space_group": "I-4m2 (119)", "relative_energy_ev_per_atom": 0.147, "formation_energy_ev_per_atom": 0.022, "crystal_system": "tetragonal", "energy_ev_per_atom": -5.39}